The following is a DFT calculation (GGA-PBE) of crystalline RbVCl4 at its relaxed geometry.

It has space group Cmcm (No. 63), with a = 4.888 Å, b = 19.385 Å, c = 7.110 Å, α = 90.00°, β = 90.00° and γ = 90.00°. The distinct sites, in fractional coordinates, are Rb at (0.000, 0.106, 0.250), V at (0.000, 0.405, 0.250), Cl at (0.000, 0.079, 0.750), Cl at (0.000, 0.326, 0.017) and Cl at (0.000, 0.500, 0.000).

As for the uncorrected formation energy: -1424 meV/atom. The energy relative to the lowest polymorph listed for this composition comes out at 0.7 kJ/mol of atoms. The total moment is 8.0 μB per cell. The value obtained for the electronic total energy is -0.3187 Ry per atom.

The following is a DFT calculation (GGA-PBE) of crystalline Ce4HoSb5 at its relaxed geometry.

It has space group Immm (No. 71), with a = 4.470 Å, b = 6.334 Å, c = 22.390 Å, α = 90.00°, β = 90.00° and γ = 90.00°. The distinct sites, in fractional coordinates, are Ce at (0.000, 0.000, 0.100), Ce at (0.000, 0.000, 0.302), Ho at (0.000, 0.000, 0.500), Sb at (0.000, 0.500, 0.097), Sb at (0.000, 0.500, 0.300) and Sb at (0.000, 0.500, 0.500).

As for the uncorrected formation energy: -1052 meV/atom. The total moment is 6.8 μB per cell. The value obtained for the electronic total energy is -0.4369 Ry per atom.

The following is a DFT calculation (GGA-PBE) of crystalline FeReRu2 at its relaxed geometry.

It has space group P4/mmm (No. 123), with a = 4.478 Å, b = 4.478 Å, c = 2.826 Å, α = 90.00°, β = 90.00° and γ = 90.00°. The distinct sites, in fractional coordinates, are Fe at (0.000, 0.000, 0.000), Re at (0.500, 0.500, 0.000) and Ru at (0.000, 0.500, 0.500).

As for the formation energy: 316.3 meV/atom. The total moment is 3.9 μB per cell. The value obtained for the electronic total energy is -0.7019 Ry per atom.

The following is a DFT calculation (GGA-PBE) of crystalline LiMo3S at its relaxed geometry.

It has space group Pm-3m (No. 221), with a = 4.446 Å, b = 4.446 Å, c = 4.446 Å, α = 90.00°, β = 90.00° and γ = 90.00°. The distinct sites, in fractional coordinates, are Li at (0.000, 0.000, 0.000), Mo at (0.000, 0.500, 0.500) and S at (0.500, 0.500, 0.500).

As for the uncorrected formation energy: 620 meV/atom. The energy relative to the lowest polymorph listed for this composition comes out at 0.0 kJ/mol of atoms. The total moment is 0.0 μB per cell. The value obtained for the electronic total energy is -0.5209 Ry per atom.

The following is a DFT calculation (GGA-PBE) of crystalline Hf2TaSnB at its relaxed geometry.

It has space group P4/mmm (No. 123), with a = 4.556 Å, b = 4.556 Å, c = 4.515 Å, α = 90.00°, β = 90.00° and γ = 90.00°. The distinct sites, in fractional coordinates, are Hf at (0.000, 0.500, 0.000), Ta at (0.000, 0.000, 0.500), Sn at (0.500, 0.500, 0.500) and B at (0.500, 0.500, 0.000).

As for the formation energy: 204.4 meV/atom. The total moment is 0.0 μB per cell. The value obtained for the electronic total energy is -0.6088 Ry per atom.

The following is a DFT calculation (GGA-PBE) of crystalline Ho3CdPd12 at its relaxed geometry.

It has space group P4/mmm (No. 123), with a = 4.088 Å, b = 4.088 Å, c = 16.410 Å, α = 90.00°, β = 90.00° and γ = 90.00°. The distinct sites, in fractional coordinates, are Ho at (0.000, 0.000, 0.000), Ho at (0.000, 0.000, 0.253), Cd at (0.000, 0.000, 0.500), Pd at (0.000, 0.500, 0.126), Pd at (0.000, 0.500, 0.378), Pd at (0.500, 0.500, 0.000), Pd at (0.500, 0.500, 0.251) and Pd at (0.500, 0.500, 0.500).

As for the formation energy: -723.5 meV/atom. The total moment is 0.0 μB per cell. The value obtained for the electronic total energy is -0.4067 Ry per atom.

The following is a DFT calculation (GGA-PBE) of crystalline ZrCrOsSe2 at its relaxed geometry.

It has space group P4/mmm (No. 123), with a = 5.156 Å, b = 5.156 Å, c = 5.038 Å, α = 90.00°, β = 90.00° and γ = 90.00°. The distinct sites, in fractional coordinates, are Zr at (0.000, 0.000, 0.000), Cr at (0.500, 0.500, 0.500), Os at (0.000, 0.000, 0.500) and Se at (0.000, 0.500, 0.000).

As for the uncorrected formation energy: 905 meV/atom. The energy relative to the lowest polymorph listed for this composition comes out at 0.0 kJ/mol of atoms. The total moment is 2.0 μB per cell. The value obtained for the electronic total energy is -0.4681 Ry per atom.

The following is a DFT calculation (GGA-PBE) of crystalline Ce4GeIrBr2 at its relaxed geometry.

It has space group P2/m (No. 10), with a = 7.448 Å, b = 4.169 Å, c = 7.536 Å, α = 90.00°, β = 107.94° and γ = 90.00°. The distinct sites, in fractional coordinates, are Ce at (0.225, 0.000, 0.210), Ce at (0.246, 0.500, 0.782), Ge at (0.500, 0.000, 0.000), Ir at (0.000, 0.500, 0.000), Br at (0.000, 0.000, 0.500) and Br at (0.500, 0.500, 0.500).

As for the uncorrected formation energy: -996 meV/atom. The total moment is 4.2 μB per cell. The value obtained for the electronic total energy is -0.4459 Ry per atom.